# SrNb3Ni, relaxed, DFT GGA-PBE
data_SrNb3Ni
_chemical_formula_sum 'Sr1 Nb3 Ni1'
_space_group_name_H-M_alt 'P m -3 m'
_space_group_IT_number 221
_space_group_name_Hall '-P 4 2 3'
_cell_length_a 4.8301
_cell_length_b 4.8301
_cell_length_c 4.8301
_cell_angle_alpha 90.00
_cell_angle_beta 90.00
_cell_angle_gamma 90.00
loop_
_atom_site_label
_atom_site_type_symbol
_atom_site_fract_x
_atom_site_fract_y
_atom_site_fract_z
Sr1 Sr 0.0000 0.0000 0.0000
Nb1 Nb 0.0000 0.5000 0.5000
Ni1 Ni 0.5000 0.5000 0.5000
# Raw total energy = -6.6385 eV per atom
# Total magnetic moment = 0.00 μB per formula unit
# Energy above the lowest structure with this stoichiometry = 0 meV per atom
# Formation energy from the elements = 0.90 eV/atom